Record 1
DFT (PBE-GGA) results for an optimized crystal structure of Nb2Cd2Fe.

Cell: 6.2316 6.2316 4.9848 Å, 90.00 90.00 90.00°
Last column: nearest neighbours and their distance in Å.
Sites, in units of the cell vectors:
Nb: 0.3477 0.8477 0.0000  2 Fe 2.37
Nb: 0.8477 0.6523 0.0000  2 Fe 2.37
Nb: 0.6523 0.1523 0.0000  2 Fe 2.37
Nb: 0.1523 0.3477 0.0000  2 Fe 2.37
Fe: 0.0000 0.0000 0.0000  4 Nb 2.37
Fe: 0.5000 0.5000 0.0000  4 Nb 2.37
Cd: 0.1654 0.6654 0.5000  1 Cd 2.91, 6 Nb 2.97-3.18
Cd: 0.6654 0.8346 0.5000  1 Cd 2.91, 6 Nb 2.97-3.18
Cd: 0.8346 0.3346 0.5000  1 Cd 2.91, 6 Nb 2.97-3.18
Cd: 0.3346 0.1654 0.5000  1 Cd 2.91, 6 Nb 2.97-3.18

Summary:
Energy of formation from the pure elements (eV per atom): 0.522
Volume (Å³ per atom): 19.358
Total DFT energy (no corrections) (eV per atom): -5.5641
SG: No. 127
Relative energy among the computed polymorphs (meV/atom): 0

=====

Record 2
DFT (PBE-GGA) results for an optimized crystal structure of NbCdFe3.

Cell: 4.5558 4.5558 4.5558 Å, 90.00 90.00 90.00°
Last column: nearest neighbours and their distance in Å.
Sites, in units of the cell vectors:
Nb: 0.0000 0.0000 0.0000  6 Fe 2.28
Fe: 0.0000 0.5000 0.0000  2 Nb 2.28
Fe: 0.0000 0.0000 0.5000  2 Nb 2.28
Fe: 0.5000 0.0000 0.0000  2 Nb 2.28
Cd: 0.5000 0.5000 0.5000  12 Fe 3.22

Summary:
Energy of formation from the pure elements (eV per atom): 1.321
Volume (Å³ per atom): 18.912
Total DFT energy (no corrections) (eV per atom): -5.9541
SG: No. 221
Relative energy among the computed polymorphs (meV/atom): 0

=====

Record 3
DFT (PBE-GGA) results for an optimized crystal structure of Nb2CdFeS.

Cell: 4.6512 4.6512 4.1198 Å, 90.00 90.00 90.00°
Last column: nearest neighbours and their distance in Å.
Sites, in units of the cell vectors:
S: 0.0000 0.0000 0.0000  2 Fe 2.06
Nb: 0.0000 0.5000 0.0000  2 S 2.33
Nb: 0.5000 0.0000 0.0000  2 S 2.33
Fe: 0.0000 0.0000 0.5000  2 S 2.06
Cd: 0.5000 0.5000 0.5000  8 Nb 3.11, 4 Fe 3.29

Summary:
Formation energy without anion corrections (eV/f.u.): 0.41
Volume (Å³ per atom): 17.825
Total DFT energy (no corrections) (eV per atom): -6.6468
SG: No. 123

=====

Record 4
DFT (PBE-GGA) results for an optimized crystal structure of Nd2CdFe.

Cell: 3.5664 3.5664 7.9395 Å, 90.00 90.00 90.00°
Last column: nearest neighbours and their distance in Å.
Sites, in units of the cell vectors:
Nd: 0.0000 0.0000 0.7858  4 Fe 3.04, 4 Cd 3.39, 1 Nd 3.40
Nd: 0.0000 0.0000 0.2142  4 Fe 3.04, 4 Cd 3.39, 1 Nd 3.40
Fe: 0.5000 0.5000 0.0000  8 Nd 3.04
Cd: 0.5000 0.5000 0.5000  8 Nd 3.39, 4 Cd 3.57

Summary:
Energy of formation from the pure elements (eV per atom): -0.017
Volume (Å³ per atom): 25.247
Total DFT energy (no corrections) (eV per atom): -4.7450
SG: No. 123

=====

Across the entries above, magnetization takes the values 0.00; 4.78; 1.43; 1.52 μB per formula unit, respectively.